Record 1
Compound: PmPr5Cd4
Source: the Alexandria database
Functional: PBE
Structure: relaxed

Computed properties:
energy of formation from the pure elements	-0.25	eV per atom

Cell: 3.832 3.832 20.828 Å, 90.00 90.00 90.00°
Sites, in units of the cell vectors:
Pr (0.500, 0.500, 0.311)
Pm (0.000, 0.000, 0.000)
Pr (0.500, 0.500, 0.120)
Pr (0.500, 0.500, 0.500)
Cd (0.000, 0.000, 0.786)
Cd (0.000, 0.000, 0.595)
Pr (0.500, 0.500, 0.880)
Cd (0.000, 0.000, 0.214)
Pr (0.500, 0.500, 0.689)
Cd (0.000, 0.000, 0.405)



Record 2
Compound: PmPrCd4
Source: the Alexandria database
Functional: PBE
Structure: relaxed

Computed properties:
energy of formation from the pure elements	-0.35	eV per atom

Cell: 5.106 6.151 6.151 Å, 68.14 65.48 65.48°
Sites, in units of the cell vectors:
Cd (0.167, 0.085, 0.582)
Cd (0.833, 0.418, 0.915)
Pm (0.500, 0.500, 0.500)
Cd (0.167, 0.582, 0.085)
Pr (0.500, 0.000, 0.000)
Cd (0.833, 0.915, 0.418)



Record 3
Compound: PmPrCd3
Source: the Alexandria database
Functional: PBE
Structure: relaxed

Computed properties:
energy of formation from the pure elements	-0.31	eV per atom

Cell: 3.525 5.069 15.263 Å, 90.00 96.63 90.00°
Sites, in units of the cell vectors:
Cd (0.326, 0.750, 0.651)
Cd (0.379, 0.250, 0.758)
Cd (0.674, 0.250, 0.349)
Pm (0.786, 0.250, 0.573)
Cd (0.476, 0.250, 0.953)
Pm (0.214, 0.750, 0.427)
Pr (0.926, 0.750, 0.852)
Cd (0.524, 0.750, 0.047)
Pr (0.074, 0.250, 0.148)
Cd (0.621, 0.750, 0.242)



Record 4
Compound: Pm8Pr2Cd
Source: the Alexandria database
Functional: PBE
Structure: relaxed

Computed properties:
energy of formation from the pure elements	-0.02	eV per atom

Cell: 5.148 6.304 12.783 Å, 77.06 90.00 114.10°
Sites, in units of the cell vectors:
Pr (0.314, 0.628, 0.262)
Pm (0.861, 0.722, 0.452)
Cd (0.500, 0.000, 0.000)
Pm (0.589, 0.178, 0.361)
Pm (0.246, 0.492, 0.913)
Pm (0.036, 0.073, 0.175)
Pm (0.139, 0.278, 0.548)
Pm (0.754, 0.508, 0.087)
Pm (0.411, 0.822, 0.639)
Pm (0.964, 0.927, 0.825)
Pr (0.686, 0.372, 0.738)



Record 5
Compound: Pm12Pr3Cd
Source: the Alexandria database
Functional: PBE
Structure: relaxed

Computed properties:
energy of formation from the pure elements	-0.01	eV per atom

Cell: 5.116 5.116 20.659 Å, 90.00 90.00 90.00°
Sites, in units of the cell vectors:
Pr (0.000, 0.000, 0.754)
Pr (0.000, 0.000, 0.500)
Pm (0.500, 0.500, 0.243)
Pm (0.500, 0.000, 0.880)
Pm (0.500, 0.000, 0.627)
Pm (0.500, 0.500, 0.757)
Cd (0.000, 0.000, 0.000)
Pm (0.500, 0.000, 0.373)
Pm (0.000, 0.500, 0.627)
Pm (0.000, 0.500, 0.880)
Pm (0.500, 0.000, 0.120)
Pm (0.000, 0.500, 0.373)
Pr (0.000, 0.000, 0.246)
Pm (0.500, 0.500, 0.500)
Pm (0.000, 0.500, 0.120)
Pm (0.500, 0.500, 0.000)



Record 6
Compound: Pm8Pr6Cd
Source: the Alexandria database
Functional: PBE
Structure: relaxed

Computed properties:
energy of formation from the pure elements	0.07	eV per atom

Cell: 6.543 9.613 9.613 Å, 120.00 90.00 90.00°
Sites, in units of the cell vectors:
Cd (0.500, 0.000, 0.000)
Pm (0.813, 0.041, 0.264)
Pm (0.156, 0.667, 0.333)
Pm (0.813, 0.223, 0.959)
Pr (0.321, 0.550, 0.642)
Pm (0.844, 0.333, 0.667)
Pm (0.187, 0.264, 0.223)
Pr (0.321, 0.092, 0.450)
Pr (0.679, 0.908, 0.550)
Pm (0.187, 0.777, 0.041)
Pm (0.187, 0.959, 0.736)
Pm (0.813, 0.736, 0.777)
Pr (0.321, 0.358, 0.908)
Pr (0.679, 0.450, 0.358)
Pr (0.679, 0.642, 0.092)



Record 7
Compound: Pm2Pr5Cd4
Source: the Alexandria database
Functional: PBE
Structure: relaxed

Computed properties:
energy of formation from the pure elements	-0.06	eV per atom

Cell: 3.835 8.693 12.583 Å, 119.95 98.77 90.00°
Sites, in units of the cell vectors:
Cd (0.641, 0.610, 0.282)
Pr (0.172, 0.350, 0.343)
Pr (0.500, 0.000, 0.000)
Pr (0.895, 0.137, 0.789)
Pm (0.256, 0.841, 0.511)
Cd (0.359, 0.390, 0.718)
Pr (0.828, 0.650, 0.657)
Pr (0.105, 0.863, 0.211)
Cd (0.040, 0.388, 0.080)
Cd (0.960, 0.612, 0.920)
Pm (0.744, 0.159, 0.489)



Record 8
Compound: Pm2Pr2Cd15
Source: the Alexandria database
Functional: PBE
Structure: relaxed

Computed properties:
energy of formation from the pure elements	-0.14	eV per atom

Cell: 7.857 7.857 7.857 Å, 81.95 81.95 81.95°
Sites, in units of the cell vectors:
Cd (0.366, 0.844, 0.366)
Cd (0.500, 0.000, 0.000)
Cd (0.703, 0.297, 0.000)
Cd (0.297, 0.703, 0.000)
Cd (0.000, 0.703, 0.297)
Cd (0.297, 0.000, 0.703)
Pm (0.094, 0.094, 0.094)
Pr (0.335, 0.335, 0.335)
Pr (0.665, 0.665, 0.665)
Pm (0.906, 0.906, 0.906)
Cd (0.000, 0.500, 0.000)
Cd (0.634, 0.634, 0.156)
Cd (0.000, 0.297, 0.703)
Cd (0.634, 0.156, 0.634)
Cd (0.000, 0.000, 0.500)
Cd (0.844, 0.366, 0.366)
Cd (0.156, 0.634, 0.634)
Cd (0.366, 0.366, 0.844)
Cd (0.703, 0.000, 0.297)